Arrangement i

! LaP4 | Alexandria via LeMat-Bulk | PBE | relaxed; values from VASP
&SYSTEM
  ibrav = 0, nat = 5, ntyp = 2
/
ATOMIC_SPECIES
P 30.97 P.upf
La 138.91 La.upf
CELL_PARAMETERS angstrom
3.162 0.884 4.671
-1.828 4.748 2.589
-2.809 -4.617 -1.839
ATOMIC_POSITIONS crystal
P 0.750 0.250 0.500
P 0.310 0.310 0.000
P 0.690 0.690 0.000
P 0.250 0.750 0.500
La 0.000 0.000 0.000
! Calculated density, g cm⁻³: 4.257
! Space-group type: No. 139
! Magnetic moment, μB/f.u.: 0.00

***

Arrangement ii

! LaP4 | Alexandria via LeMat-Bulk | PBE | relaxed; values from VASP
&SYSTEM
  ibrav = 0, nat = 5, ntyp = 2
/
ATOMIC_SPECIES
P 30.97 P.upf
La 138.91 La.upf
CELL_PARAMETERS angstrom
-1.433 -4.346 3.059
-0.691 -2.989 -4.570
5.269 -1.573 0.233
ATOMIC_POSITIONS crystal
P 0.500 0.000 0.500
P 0.000 0.500 0.500
P 0.000 0.000 0.000
P 0.500 0.500 0.000
La 0.500 0.500 0.500
! Calculated density, g cm⁻³: 2.617
! Space-group type: No. 221
! Magnetic moment, μB/f.u.: 0.33

***

Arrangement iii

! LaP4 | Alexandria via LeMat-Bulk | PBE | relaxed; values from VASP
&SYSTEM
  ibrav = 0, nat = 5, ntyp = 2
/
ATOMIC_SPECIES
P 30.97 P.upf
La 138.91 La.upf
CELL_PARAMETERS angstrom
3.550 -2.916 3.185
-4.164 1.966 3.170
-2.095 -3.323 -3.977
ATOMIC_POSITIONS crystal
P 0.500 0.500 0.500
P 0.000 0.000 0.500
P 0.500 0.000 0.000
P 0.000 0.500 0.000
La 0.000 0.000 0.000
! Calculated density, g cm⁻³: 3.245
! Space-group type: No. 229
! Magnetic moment, μB/f.u.: 0.00

***

arrangement i is preferred energetically. Next in line: 986 meV/atom higher.

***

Arrangement i

! La5P3 | Alexandria via LeMat-Bulk | PBE | relaxed; values from VASP
&SYSTEM
  ibrav = 0, nat = 8, ntyp = 2
/
ATOMIC_SPECIES
La 138.91 La.upf
P 30.97 P.upf
CELL_PARAMETERS angstrom
4.051 -5.879 0.000
4.051 5.879 0.000
0.000 0.000 4.542
ATOMIC_POSITIONS crystal
La 0.722 0.722 0.500
La 0.000 0.500 0.000
La 0.000 0.000 0.000
La 0.500 0.000 0.000
La 0.278 0.278 0.500
P 0.180 0.820 0.500
P 0.820 0.180 0.500
P 0.500 0.500 0.000
! Calculated density, g cm⁻³: 6.043
! Space-group type: No. 65
! Magnetic moment, μB/f.u.: 0.01

***

Arrangement ii

! La5P3 | Alexandria via LeMat-Bulk | PBE | relaxed; values from VASP
&SYSTEM
  ibrav = 0, nat = 16, ntyp = 2
/
ATOMIC_SPECIES
La 138.91 La.upf
P 30.97 P.upf
CELL_PARAMETERS angstrom
8.853 0.000 0.000
-4.426 7.667 0.000
0.000 0.000 6.364
ATOMIC_POSITIONS crystal
La 0.739 0.000 0.750
La 0.667 0.333 0.500
La 0.261 0.261 0.750
La 0.000 0.261 0.250
La 0.333 0.667 0.500
La 0.333 0.667 0.000
La 0.000 0.739 0.750
La 0.261 0.000 0.250
La 0.667 0.333 0.000
La 0.739 0.739 0.250
P 0.621 0.000 0.250
P 0.379 0.379 0.250
P 0.621 0.621 0.750
P 0.000 0.621 0.250
P 0.000 0.379 0.750
P 0.379 0.000 0.750
! Calculated density, g cm⁻³: 6.054
! Space-group type: No. 193
! Magnetic moment, μB/f.u.: 0.00

***

arrangement ii is preferred energetically. Next in line: 137 meV/atom higher.

***

Arrangement i

! LaPaP | Alexandria via LeMat-Bulk | PBE | relaxed; values from VASP
&SYSTEM
  ibrav = 0, nat = 3, ntyp = 3
/
ATOMIC_SPECIES
Pa 231.04 Pa.upf
P 30.97 P.upf
La 138.91 La.upf
CELL_PARAMETERS angstrom
-4.754 -0.563 -2.668
-1.735 -1.106 3.325
0.106 3.783 -0.986
ATOMIC_POSITIONS crystal
Pa 0.025 0.000 0.000
P 0.312 0.333 0.667
La 0.662 0.667 0.333
! Calculated density, g cm⁻³: 9.174
! Space-group type: No. 156
! Magnetic moment, μB/f.u.: 0.00

***

Arrangement ii

! LaPaP | Alexandria via LeMat-Bulk | PBE | relaxed; values from VASP
&SYSTEM
  ibrav = 0, nat = 6, ntyp = 3
/
ATOMIC_SPECIES
La 138.91 La.upf
Pa 231.04 Pa.upf
P 30.97 P.upf
CELL_PARAMETERS angstrom
-0.204 4.256 3.250
-3.255 -1.265 1.452
2.551 -4.808 6.456
ATOMIC_POSITIONS crystal
La 0.750 0.670 0.661
La 0.250 0.330 0.339
Pa 0.000 0.000 0.000
Pa 0.500 0.000 0.000
P 0.750 0.848 0.304
P 0.250 0.152 0.696
! Calculated density, g cm⁻³: 7.983
! Space-group type: No. 63
! Magnetic moment, μB/f.u.: 1.41

***

arrangement i is preferred energetically. Next in line: 45 meV/atom higher.

***

Arrangement i

! La3PaP4 | Alexandria via LeMat-Bulk | PBE | relaxed; values from VASP
&SYSTEM
  ibrav = 0, nat = 8, ntyp = 3
/
ATOMIC_SPECIES
La 138.91 La.upf
P 30.97 P.upf
Pa 231.04 Pa.upf
CELL_PARAMETERS angstrom
-0.907 1.036 3.945
-2.869 -6.570 1.066
7.053 -0.160 1.664
ATOMIC_POSITIONS crystal
La 0.000 0.500 0.000
La 0.500 0.500 0.500
La 0.000 0.000 0.500
P 0.000 0.768 0.768
P 0.500 0.239 0.761
P 0.500 0.761 0.239
P 0.000 0.232 0.232
Pa 0.500 0.000 0.000
! Calculated density, g cm⁻³: 6.186
! Space-group type: No. 65
! Magnetic moment, μB/f.u.: 0.00

***

Arrangement ii

! La3PaP4 | Alexandria via LeMat-Bulk | PBE | relaxed; values from VASP
&SYSTEM
  ibrav = 0, nat = 8, ntyp = 3
/
ATOMIC_SPECIES
P 30.97 P.upf
La 138.91 La.upf
Pa 231.04 Pa.upf
CELL_PARAMETERS angstrom
-1.673 4.061 -3.950
4.241 -1.832 -3.680
-5.053 -5.007 1.409
ATOMIC_POSITIONS crystal
P 0.234 0.234 0.468
P 0.500 0.000 0.000
P 0.000 0.500 0.000
P 0.766 0.766 0.532
La 0.250 0.750 0.500
La 0.750 0.250 0.500
La 0.500 0.500 0.000
Pa 0.000 0.000 0.000
! Calculated density, g cm⁻³: 6.195
! Space-group type: No. 139
! Magnetic moment, μB/f.u.: 0.00

***

arrangement i is preferred energetically. Next in line: 15 meV/atom higher.

***

Arrangement i

! La2PPb2 | Alexandria via LeMat-Bulk | PBE | relaxed; values from VASP
&SYSTEM
  ibrav = 0, nat = 10, ntyp = 3
/
ATOMIC_SPECIES
Pb 207.20 Pb.upf
P 30.97 P.upf
La 138.91 La.upf
CELL_PARAMETERS angstrom
7.969 0.000 0.000
0.000 7.969 0.000
0.000 0.000 4.768
ATOMIC_POSITIONS crystal
Pb 0.138 0.638 0.000
Pb 0.638 0.862 0.000
Pb 0.862 0.362 0.000
Pb 0.362 0.138 0.000
P 0.500 0.500 0.000
P 0.000 0.000 0.000
La 0.672 0.172 0.500
La 0.828 0.672 0.500
La 0.328 0.828 0.500
La 0.172 0.328 0.500
! Calculated density, g cm⁻³: 7.932
! Space-group type: No. 127
! Magnetic moment, μB/f.u.: 0.00

***

Arrangement ii

! La2PPb2 | Alexandria via LeMat-Bulk | PBE | relaxed; values from VASP
&SYSTEM
  ibrav = 0, nat = 10, ntyp = 3
/
ATOMIC_SPECIES
Pb 207.20 Pb.upf
P 30.97 P.upf
La 138.91 La.upf
CELL_PARAMETERS angstrom
-6.464 1.151 -4.317
0.459 -7.381 -2.655
-2.948 -1.616 3.983
ATOMIC_POSITIONS crystal
Pb 0.859 0.359 0.500
Pb 0.641 0.859 0.500
Pb 0.359 0.141 0.500
Pb 0.141 0.641 0.500
P 0.500 0.500 0.000
P 0.000 0.000 0.000
La 0.328 0.828 0.000
La 0.672 0.172 0.000
La 0.828 0.672 0.000
La 0.172 0.328 0.000
! Calculated density, g cm⁻³: 7.463
! Space-group type: No. 127
! Magnetic moment, μB/f.u.: 0.00

***

arrangement ii is preferred energetically. Next in line: 208 meV/atom higher.

***

Arrangement i

! La2P2Pb | Alexandria via LeMat-Bulk | PBE | relaxed; values from VASP
&SYSTEM
  ibrav = 0, nat = 10, ntyp = 3
/
ATOMIC_SPECIES
P 30.97 P.upf
La 138.91 La.upf
Pb 207.20 Pb.upf
CELL_PARAMETERS angstrom
8.055 0.000 0.000
0.000 8.055 0.000
0.000 0.000 3.986
ATOMIC_POSITIONS crystal
P 0.153 0.347 0.000
P 0.847 0.653 0.000
P 0.653 0.153 0.000
P 0.347 0.847 0.000
La 0.152 0.652 0.500
La 0.848 0.348 0.500
La 0.348 0.152 0.500
La 0.652 0.848 0.500
Pb 0.000 0.000 0.000
Pb 0.500 0.500 0.000
! Calculated density, g cm⁻³: 7.023
! Space-group type: No. 127
! Magnetic moment, μB/f.u.: 0.00

***

Arrangement ii

! La2P2Pb | Alexandria via LeMat-Bulk | PBE | relaxed; values from VASP
&SYSTEM
  ibrav = 0, nat = 5, ntyp = 3
/
ATOMIC_SPECIES
P 30.97 P.upf
Pb 207.20 Pb.upf
La 138.91 La.upf
CELL_PARAMETERS angstrom
-2.536 4.498 2.607
-5.068 -1.494 -2.354
-4.636 -0.887 3.437
ATOMIC_POSITIONS crystal
P 0.648 0.648 0.704
P 0.352 0.352 0.296
Pb 0.000 0.000 0.000
La 0.750 0.250 0.500
La 0.250 0.750 0.500
! Calculated density, g cm⁻³: 6.513
! Space-group type: No. 139
! Magnetic moment, μB/f.u.: 0.54

***

arrangement i is preferred energetically. Next in line: 303 meV/atom higher.

***

Arrangement i

! LaPPbS2 | Alexandria via LeMat-Bulk | PBE | relaxed; values from VASP
&SYSTEM
  ibrav = 0, nat = 5, ntyp = 4
/
ATOMIC_SPECIES
P 30.97 P.upf
Pb 207.20 Pb.upf
S 32.06 S.upf
La 138.91 La.upf
CELL_PARAMETERS angstrom
-3.714 -0.489 3.954
3.234 -3.527 2.602
2.326 4.120 2.695
ATOMIC_POSITIONS crystal
P 0.000 0.000 0.500
Pb 0.500 0.500 0.500
S 0.000 0.500 0.000
S 0.500 0.000 0.000
La 0.000 0.000 0.000
! Calculated density, g cm⁻³: 4.535
! Space-group type: No. 123
! Magnetic moment, μB/f.u.: 0.41

***

Arrangement ii

! LaPPbS2 | Alexandria via LeMat-Bulk | PBE | relaxed; values from VASP
&SYSTEM
  ibrav = 0, nat = 5, ntyp = 4
/
ATOMIC_SPECIES
S 32.06 S.upf
P 30.97 P.upf
La 138.91 La.upf
Pb 207.20 Pb.upf
CELL_PARAMETERS angstrom
5.144 0.000 0.000
0.000 5.144 0.000
0.000 0.000 5.100
ATOMIC_POSITIONS crystal
S 0.000 0.500 0.000
S 0.500 0.000 0.000
P 0.000 0.000 0.500
La 0.500 0.500 0.500
Pb 0.000 0.000 0.000
! Calculated density, g cm⁻³: 5.430
! Space-group type: No. 123
! Magnetic moment, μB/f.u.: 0.00

***

arrangement ii is preferred energetically. Next in line: 76 meV/atom higher.

***

Arrangement i

! LaP2Pd6 | Alexandria via LeMat-Bulk | PBE | relaxed; values from VASP
&SYSTEM
  ibrav = 0, nat = 9, ntyp = 3
/
ATOMIC_SPECIES
P 30.97 P.upf
Pd 106.42 Pd.upf
La 138.91 La.upf
CELL_PARAMETERS angstrom
-3.746 -1.607 -0.793
0.439 -2.605 3.203
-3.622 5.852 5.255
ATOMIC_POSITIONS crystal
P 0.500 0.500 0.131
P 0.500 0.500 0.869
Pd 0.500 0.000 0.724
Pd 0.000 0.500 0.724
Pd 0.500 0.500 0.500
Pd 0.500 0.000 0.276
Pd 0.000 0.000 0.500
Pd 0.000 0.500 0.276
La 0.000 0.000 0.000
! Calculated density, g cm⁻³: 9.337
! Space-group type: No. 123
! Magnetic moment, μB/f.u.: 0.00

***

Arrangement ii

! LaP2Pd6 | Alexandria via LeMat-Bulk | PBE | relaxed; values from VASP
&SYSTEM
  ibrav = 0, nat = 9, ntyp = 3
/
ATOMIC_SPECIES
Pd 106.42 Pd.upf
P 30.97 P.upf
La 138.91 La.upf
CELL_PARAMETERS angstrom
5.782 0.000 0.000
-2.891 5.007 0.000
0.000 0.000 6.079
ATOMIC_POSITIONS crystal
Pd 0.500 0.000 0.768
Pd 0.000 0.500 0.768
Pd 0.500 0.500 0.768
Pd 0.500 0.000 0.232
Pd 0.500 0.500 0.232
Pd 0.000 0.500 0.232
P 0.333 0.667 0.500
P 0.667 0.333 0.500
La 0.000 0.000 0.000
! Calculated density, g cm⁻³: 7.920
! Space-group type: No. 191
! Magnetic moment, μB/f.u.: 0.00

***

arrangement i is preferred energetically. Next in line: 80 meV/atom higher.

***

Arrangement i

! LaPPd3 | Alexandria via LeMat-Bulk | PBE | relaxed; values from VASP
&SYSTEM
  ibrav = 0, nat = 5, ntyp = 3
/
ATOMIC_SPECIES
P 30.97 P.upf
Pd 106.42 Pd.upf
La 138.91 La.upf
CELL_PARAMETERS angstrom
5.085 0.000 0.000
0.000 5.085 0.000
0.000 0.000 5.085
ATOMIC_POSITIONS crystal
P 0.500 0.500 0.500
Pd 0.000 0.000 0.500
Pd 0.000 0.500 0.000
Pd 0.500 0.000 0.000
La 0.000 0.000 0.000
! Calculated density, g cm⁻³: 6.176
! Space-group type: No. 221
! Magnetic moment, μB/f.u.: 0.00

***

Arrangement ii

! LaPPd3 | Alexandria via LeMat-Bulk | PBE | relaxed; values from VASP
&SYSTEM
  ibrav = 0, nat = 5, ntyp = 3
/
ATOMIC_SPECIES
Pd 106.42 Pd.upf
P 30.97 P.upf
La 138.91 La.upf
CELL_PARAMETERS angstrom
4.650 0.000 0.000
0.000 4.650 0.000
0.000 0.000 4.650
ATOMIC_POSITIONS crystal
Pd 0.000 0.500 0.000
Pd 0.000 0.000 0.500
Pd 0.500 0.000 0.000
P 0.000 0.000 0.000
La 0.500 0.500 0.500
! Calculated density, g cm⁻³: 8.079
! Space-group type: No. 221
! Magnetic moment, μB/f.u.: 0.00

***

arrangement ii is preferred energetically. Next in line: 1648 meV/atom higher.

***

Arrangement i

! LaP2PdS | Alexandria via LeMat-Bulk | PBE | relaxed; values from VASP
&SYSTEM
  ibrav = 0, nat = 5, ntyp = 4
/
ATOMIC_SPECIES
P 30.97 P.upf
Pd 106.42 Pd.upf
S 32.06 S.upf
La 138.91 La.upf
CELL_PARAMETERS angstrom
5.542 0.000 0.000
0.000 5.542 0.000
0.000 0.000 5.377
ATOMIC_POSITIONS crystal
P 0.000 0.500 0.000
P 0.500 0.000 0.000
Pd 0.500 0.500 0.500
S 0.000 0.000 0.500
La 0.000 0.000 0.000
! Calculated density, g cm⁻³: 3.412
! Space-group type: No. 123
! Magnetic moment, μB/f.u.: 1.30

***

Arrangement ii

! LaP2PdS | Alexandria via LeMat-Bulk | PBE | relaxed; values from VASP
&SYSTEM
  ibrav = 0, nat = 5, ntyp = 4
/
ATOMIC_SPECIES
P 30.97 P.upf
Pd 106.42 Pd.upf
S 32.06 S.upf
La 138.91 La.upf
CELL_PARAMETERS angstrom
-2.868 -2.915 2.192
3.201 -0.674 3.291
-1.863 3.778 2.586
ATOMIC_POSITIONS crystal
P 0.000 0.500 0.000
P 0.500 0.000 0.000
Pd 0.000 0.000 0.000
S 0.000 0.000 0.500
La 0.500 0.500 0.500
! Calculated density, g cm⁻³: 5.296
! Space-group type: No. 123
! Magnetic moment, μB/f.u.: 0.00

***

arrangement ii is preferred energetically. Next in line: 1330 meV/atom higher.

***

Arrangement i

! LaPmP | Alexandria via LeMat-Bulk | PBE | relaxed; values from VASP
&SYSTEM
  ibrav = 0, nat = 3, ntyp = 3
/
ATOMIC_SPECIES
Pm 145.00 Pm.upf
La 138.91 La.upf
P 30.97 P.upf
CELL_PARAMETERS angstrom
-1.831 3.884 5.348
-2.846 -2.712 0.995
3.743 -0.336 1.525
ATOMIC_POSITIONS crystal
Pm 0.763 0.667 0.333
La 0.242 0.333 0.667
P 0.995 0.000 0.000
! Calculated density, g cm⁻³: 5.353
! Space-group type: No. 156
! Magnetic moment, μB/f.u.: 0.80

***

Arrangement ii

! LaPmP | Alexandria via LeMat-Bulk | PBE | relaxed; values from VASP
&SYSTEM
  ibrav = 0, nat = 6, ntyp = 3
/
ATOMIC_SPECIES
Pm 145.00 Pm.upf
P 30.97 P.upf
La 138.91 La.upf
CELL_PARAMETERS angstrom
-3.774 -0.840 1.243
-2.430 -2.303 -2.300
2.489 -12.167 5.968
ATOMIC_POSITIONS crystal
Pm 0.207 0.207 0.378
Pm 0.793 0.793 0.622
P 0.087 0.087 0.739
P 0.913 0.913 0.261
La 0.621 0.621 0.136
La 0.379 0.379 0.864
! Calculated density, g cm⁻³: 5.392
! Space-group type: No. 166
! Magnetic moment, μB/f.u.: 0.51

***

Arrangement iii

! LaPmP | Alexandria via LeMat-Bulk | PBE | relaxed; values from VASP
&SYSTEM
  ibrav = 0, nat = 3, ntyp = 3
/
ATOMIC_SPECIES
P 30.97 P.upf
Pm 145.00 Pm.upf
La 138.91 La.upf
CELL_PARAMETERS angstrom
3.637 0.000 0.000
0.000 3.637 0.000
-1.819 -1.819 6.575
ATOMIC_POSITIONS crystal
P 0.670 0.670 0.340
Pm 0.288 0.288 0.576
La 0.042 0.042 0.083
! Calculated density, g cm⁻³: 6.011
! Space-group type: No. 107
! Magnetic moment, μB/f.u.: 0.00

***

Arrangement iv

! LaPmP | Alexandria via LeMat-Bulk | PBE | relaxed; values from VASP
&SYSTEM
  ibrav = 0, nat = 3, ntyp = 3
/
ATOMIC_SPECIES
Pm 145.00 Pm.upf
La 138.91 La.upf
P 30.97 P.upf
CELL_PARAMETERS angstrom
4.913 0.000 0.000
2.456 4.254 0.000
2.456 1.418 4.011
ATOMIC_POSITIONS crystal
Pm 0.500 0.500 0.500
La 0.000 0.000 0.000
P 0.250 0.250 0.250
! Calculated density, g cm⁻³: 6.237
! Space-group type: No. 216
! Magnetic moment, μB/f.u.: 0.00

***

arrangement ii is preferred energetically. Next in line: 18 meV/atom higher.

***

Arrangement i

! LaPm2P | Alexandria via LeMat-Bulk | PBE | relaxed; values from VASP
&SYSTEM
  ibrav = 0, nat = 4, ntyp = 3
/
ATOMIC_SPECIES
Pm 145.00 Pm.upf
La 138.91 La.upf
P 30.97 P.upf
CELL_PARAMETERS angstrom
-1.983 -2.465 -2.334
1.819 -1.741 -3.019
2.366 -8.727 3.897
ATOMIC_POSITIONS crystal
Pm 0.725 0.725 0.825
Pm 0.275 0.275 0.175
La 0.500 0.500 0.500
P 0.000 0.000 0.000
! Calculated density, g cm⁻³: 5.954
! Space-group type: No. 166
! Magnetic moment, μB/f.u.: 0.00

***

Arrangement ii

! LaPm2P | Alexandria via LeMat-Bulk | PBE | relaxed; values from VASP
&SYSTEM
  ibrav = 0, nat = 4, ntyp = 3
/
ATOMIC_SPECIES
La 138.91 La.upf
P 30.97 P.upf
Pm 145.00 Pm.upf
CELL_PARAMETERS angstrom
-2.788 0.766 2.387
1.746 -1.969 2.671
3.810 6.560 2.346
ATOMIC_POSITIONS crystal
La 0.500 0.500 0.500
P 0.500 0.500 0.000
Pm 0.000 0.000 0.809
Pm 0.000 0.000 0.191
! Calculated density, g cm⁻³: 6.840
! Space-group type: No. 123
! Magnetic moment, μB/f.u.: 0.00

***

arrangement i is preferred energetically. Next in line: 139 meV/atom higher.